(1)
# Na3F

A relaxed structure of Na3F (PBE, the Alexandria database).

Values from the calculation:
volume	24.24	A^3/atom
E_form (uncorrected)	-1.2098	eV/atom
N(E_F)	0.294	states/eV/atom
spin magnetization	0.000	μB/cell

Cell and atoms, written as CIF:
```
data_Na3F
_cell_length_a 3.156
_cell_length_b 3.357
_cell_length_c 9.154
_cell_angle_alpha 90.00
_cell_angle_beta 90.00
_cell_angle_gamma 90.00
_symmetry_space_group_name_H-M 'P m m 2'
_symmetry_Int_Tables_number 25
loop_
_symmetry_equiv_pos_as_xyz
'x,y,z'
'-x,-y,z'
'-x,y,z'
'x,-y,z'
loop_
_atom_site_label
_atom_site_type_symbol
_atom_site_fract_x
_atom_site_fract_y
_atom_site_fract_z
Na1 Na 0.000 0.000 0.000
Na2 Na 0.000 0.500 0.297
Na3 Na 0.500 0.500 0.674
F1 F 0.500 0.000 0.198
```

***

(2)
# Tl12CdO7

A relaxed structure of Tl12CdO7 (PBE, the Alexandria database).

Values from the calculation:
volume	24.48	A^3/atom
E_form (uncorrected)	-0.5655	eV/atom
N(E_F)	0.053	states/eV/atom
spin magnetization	0.000	μB/cell

Cell and atoms, written as CIF:
```
data_Tl12CdO7
_cell_length_a 13.9693
_cell_length_b 13.9693
_cell_length_c 8.6909
_cell_angle_alpha 90.00
_cell_angle_beta 90.00
_cell_angle_gamma 120.00
_symmetry_space_group_name_H-M 'R -3'
_symmetry_Int_Tables_number 148
_symmetry_space_group_name_Hall '-R 3'
loop_
_atom_site_label
_atom_site_type_symbol
_atom_site_fract_x
_atom_site_fract_y
_atom_site_fract_z
Tl1 Tl 0.0472 0.2768 0.4915
Tl2 Tl 0.0715 0.9005 0.8305
Cd1 Cd 0.0000 0.0000 0.5000
O1 O 0.0000 0.0000 0.0000
O2 O 0.0675 0.9067 0.3427
```

***

(3)
# CaMg3

A relaxed structure of CaMg3 (PBE, the Alexandria database).

Values from the calculation:
volume	28.03	A^3/atom
formation energy	0.089	eV per atom
N(E_F)	0.652	states/eV/atom
spin magnetization	0.000	μB/cell

Cell and atoms, written as CIF:
```
data_CaMg3
_cell_length_a 3.5216
_cell_length_b 3.5216
_cell_length_c 31.3138
_cell_angle_alpha 90.00
_cell_angle_beta 90.00
_cell_angle_gamma 120.00
_symmetry_space_group_name_H-M 'R -3 m'
_symmetry_Int_Tables_number 166
_symmetry_space_group_name_Hall '-R 3 2"'
loop_
_atom_site_label
_atom_site_type_symbol
_atom_site_fract_x
_atom_site_fract_y
_atom_site_fract_z
Ca1 Ca 0.0000 0.0000 0.0000
Mg1 Mg 0.0000 0.0000 0.2433
Mg2 Mg 0.0000 0.0000 0.5000
```

***

(4)
# RbAlSeBr2

A relaxed structure of RbAlSeBr2 (PBE, the Alexandria database).

Values from the calculation:
volume	28.78	A^3/atom
E_form (uncorrected)	-0.9921	eV/atom
N(E_F)	0.319	states/eV/atom
spin magnetization	0.000	μB/cell

Cell and atoms, written as CIF:
```
data_RbAlSeBr2
_cell_length_a 5.444
_cell_length_b 5.444
_cell_length_c 4.854
_cell_angle_alpha 90.00
_cell_angle_beta 90.00
_cell_angle_gamma 90.00
_symmetry_space_group_name_H-M 'P 4/m m m'
_symmetry_Int_Tables_number 123
_symmetry_space_group_name_Hall '-P 4 2'
loop_
_atom_site_label
_atom_site_type_symbol
_atom_site_fract_x
_atom_site_fract_y
_atom_site_fract_z
Rb1 Rb 0.000 0.000 0.000
Al1 Al 0.500 0.500 0.500
Se1 Se 0.500 0.500 0.000
Br1 Br 0.000 0.500 0.500
```

***

(5)
# Sm2MgCd4

A relaxed structure of Sm2MgCd4 (PBE, the Alexandria database).

Values from the calculation:
volume	29.56	A^3/atom
formation energy	0.122	eV per atom
N(E_F)	0.998	states/eV/atom
spin magnetization	0.000	μB/cell

Cell and atoms, written as CIF:
```
data_Sm2MgCd4
_cell_length_a 5.065
_cell_length_b 5.065
_cell_length_c 16.135
_cell_angle_alpha 90.00
_cell_angle_beta 90.00
_cell_angle_gamma 90.00
_symmetry_space_group_name_H-M 'I 4/m m m'
_symmetry_Int_Tables_number 139
_symmetry_space_group_name_Hall '-I 4 2'
loop_
_atom_site_label
_atom_site_type_symbol
_atom_site_fract_x
_atom_site_fract_y
_atom_site_fract_z
Sm1 Sm 0.000 0.000 0.129
Mg1 Mg 0.000 0.000 0.500
Cd1 Cd 0.000 0.000 0.323
Cd2 Cd 0.000 0.500 0.000
```

***

(6)
# CaYHo

A relaxed structure of CaYHo (PBE, the Alexandria database).

Values from the calculation:
volume	34.35	A^3/atom
formation energy	0.079	eV per atom
N(E_F)	1.833	states/eV/atom
spin magnetization	0.057	μB/cell

Cell and atoms, written as CIF:
```
data_CaYHo
_cell_length_a 3.6166
_cell_length_b 3.6166
_cell_length_c 9.0988
_cell_angle_alpha 90.00
_cell_angle_beta 90.00
_cell_angle_gamma 120.00
_symmetry_space_group_name_H-M 'P 3 m 1'
_symmetry_Int_Tables_number 156
loop_
_symmetry_equiv_pos_as_xyz
'x,y,z'
'-y,x-y,z'
'-x+y,-x,z'
'-y,-x,z'
'-x+y,y,z'
'x,x-y,z'
loop_
_atom_site_label
_atom_site_type_symbol
_atom_site_fract_x
_atom_site_fract_y
_atom_site_fract_z
Ca1 Ca 0.0000 0.0000 0.0000
Y1 Y 0.3333 0.6667 0.6506
Ho1 Ho 0.6667 0.3333 0.3465
```

***

(7)
# Pr2DyZn4

A relaxed structure of Pr2DyZn4 (PBE, the Alexandria database).

Values from the calculation:
volume	25.32	A^3/atom
formation energy	-0.151	eV per atom
N(E_F)	0.769	states/eV/atom
spin magnetization	0.000	μB/cell

Cell and atoms, written as CIF:
```
data_Pr2DyZn4
_cell_length_a 5.250
_cell_length_b 5.250
_cell_length_c 12.863
_cell_angle_alpha 90.00
_cell_angle_beta 90.00
_cell_angle_gamma 90.00
_symmetry_space_group_name_H-M 'I 4/m m m'
_symmetry_Int_Tables_number 139
_symmetry_space_group_name_Hall '-I 4 2'
loop_
_atom_site_label
_atom_site_type_symbol
_atom_site_fract_x
_atom_site_fract_y
_atom_site_fract_z
Pr1 Pr 0.000 0.000 0.220
Dy1 Dy 0.000 0.000 0.500
Zn1 Zn 0.000 0.500 0.104
```

***

(8)
# Zr6TiRh5

A relaxed structure of Zr6TiRh5 (PBE, the Alexandria database).

Values from the calculation:
volume	18.20	A^3/atom
formation energy	-0.631	eV per atom
N(E_F)	0.912	states/eV/atom
spin magnetization	3.217	μB/cell

Cell and atoms, written as CIF:
```
data_Zr6TiRh5
_cell_length_a 4.672
_cell_length_b 6.694
_cell_length_c 13.964
_cell_angle_alpha 90.00
_cell_angle_beta 90.00
_cell_angle_gamma 90.00
_symmetry_space_group_name_H-M 'I m m m'
_symmetry_Int_Tables_number 71
_symmetry_space_group_name_Hall '-I 2 2'
loop_
_atom_site_label
_atom_site_type_symbol
_atom_site_fract_x
_atom_site_fract_y
_atom_site_fract_z
Zr1 Zr 0.000 0.244 0.000
Zr2 Zr 0.000 0.253 0.332
Ti1 Ti 0.000 0.000 0.500
Rh1 Rh 0.000 0.000 0.171
Rh2 Rh 0.000 0.500 0.160
Rh3 Rh 0.000 0.500 0.500
```

***

What is the volume in the fifth record?
29.56 A^3/atom